# 1
Computed, not measured: a geometry-optimized MgCoTc2 structure at the PBE level of DFT.

Structure (CIF):
```
data_MgCoTc2
_cell_length_a 6.083
_cell_length_b 6.083
_cell_length_c 6.083
_cell_angle_alpha 90.00
_cell_angle_beta 90.00
_cell_angle_gamma 90.00
_symmetry_space_group_name_H-M 'F -4 3 m'
_symmetry_Int_Tables_number 216
_symmetry_space_group_name_Hall 'F -4 2 3'
loop_
_atom_site_label
_atom_site_type_symbol
_atom_site_fract_x
_atom_site_fract_y
_atom_site_fract_z
_atom_site_occupancy
Mg1 Mg 0.000 0.000 0.000 1
Co1 Co 0.250 0.250 0.750 1
Tc1 Tc 0.000 0.000 0.500 1
Tc2 Tc 0.250 0.250 0.250 1
```

As for the density of states at the Fermi level: 17.383 states/eV per cell. The calculated density is 8.24 g cm⁻³. The energy of formation from the pure elements is 16 kJ per mole of atoms. The value obtained for the total energy is -115.050 eV per cell.



# 2
Computed, not measured: a geometry-optimized MgCoTc structure at the PBE level of DFT.

Structure (CIF):
```
data_MgCoTc
_cell_length_a 5.128
_cell_length_b 4.135
_cell_length_c 8.023
_cell_angle_alpha 90.00
_cell_angle_beta 90.00
_cell_angle_gamma 90.00
_symmetry_space_group_name_H-M 'P n m a'
_symmetry_Int_Tables_number 62
loop_
_symmetry_equiv_pos_as_xyz
'x,y,z'
'-x,-y,-z'
'-x+1/2,-y,z+1/2'
'x+1/2,y,-z+1/2'
'x+1/2,-y+1/2,-z+1/2'
'-x+1/2,y+1/2,z+1/2'
'-x,y+1/2,-z'
'x,-y+1/2,z'
loop_
_atom_site_label
_atom_site_type_symbol
_atom_site_fract_x
_atom_site_fract_y
_atom_site_fract_z
_atom_site_occupancy
Mg1 Mg 0.138 0.250 0.075 1
Co1 Co 0.128 0.250 0.409 1
Tc1 Tc 0.063 0.250 0.713 1
```

As for the density of states at the Fermi level: 14.115 states/eV per cell. The calculated density is 7.08 g cm⁻³. The energy of formation from the pure elements is 22 kJ per mole of atoms. The value obtained for the total energy is -73.552 eV per cell.



# 3
Computed, not measured: a geometry-optimized Mg2CoTc structure at the PBE level of DFT.

Structure (CIF):
```
data_Mg2CoTc
_cell_length_a 5.448
_cell_length_b 8.799
_cell_length_c 2.646
_cell_angle_alpha 90.00
_cell_angle_beta 106.66
_cell_angle_gamma 90.00
_symmetry_space_group_name_H-M 'C 1 2/m 1'
_symmetry_Int_Tables_number 12
loop_
_symmetry_equiv_pos_as_xyz
'x,y,z'
'-x,-y,-z'
'-x,y,-z'
'x,-y,z'
'x+1/2,y+1/2,z'
'-x+1/2,-y+1/2,-z'
'-x+1/2,y+1/2,-z'
'x+1/2,-y+1/2,z'
loop_
_atom_site_label
_atom_site_type_symbol
_atom_site_fract_x
_atom_site_fract_y
_atom_site_fract_z
_atom_site_occupancy
Mg1 Mg 0.250 0.250 0.000 1
Co1 Co 0.000 0.000 0.500 1
Tc1 Tc 0.000 0.500 0.500 1
```

As for the density of states at the Fermi level: 6.542 states/eV per cell. The calculated density is 5.62 g cm⁻³. The energy of formation from the pure elements is 26 kJ per mole of atoms. The value obtained for the total energy is -39.207 eV per cell.



# 4
Computed, not measured: a geometry-optimized MgCoTc2 structure at the PBE level of DFT.

Structure (CIF):
```
data_MgCoTc2
_cell_length_a 3.080
_cell_length_b 3.080
_cell_length_c 6.276
_cell_angle_alpha 90.00
_cell_angle_beta 90.00
_cell_angle_gamma 90.00
_symmetry_space_group_name_H-M 'P 4/m m m'
_symmetry_Int_Tables_number 123
_symmetry_space_group_name_Hall '-P 4 2'
loop_
_atom_site_label
_atom_site_type_symbol
_atom_site_fract_x
_atom_site_fract_y
_atom_site_fract_z
_atom_site_occupancy
Mg1 Mg 0.000 0.000 0.000 1
Co1 Co 0.000 0.000 0.500 1
Tc1 Tc 0.500 0.500 0.302 1
```

As for the density of states at the Fermi level: 4.815 states/eV per cell. The calculated density is 7.79 g cm⁻³. The energy of formation from the pure elements is 30 kJ per mole of atoms. The value obtained for the total energy is -28.200 eV per cell.



# 5
Computed, not measured: a geometry-optimized Mg2CoTc structure at the PBE level of DFT.

Structure (CIF):
```
data_Mg2CoTc
_cell_length_a 6.276
_cell_length_b 6.276
_cell_length_c 6.276
_cell_angle_alpha 90.00
_cell_angle_beta 90.00
_cell_angle_gamma 90.00
_symmetry_space_group_name_H-M 'F m -3 m'
_symmetry_Int_Tables_number 225
_symmetry_space_group_name_Hall '-F 4 2 3'
loop_
_atom_site_label
_atom_site_type_symbol
_atom_site_fract_x
_atom_site_fract_y
_atom_site_fract_z
_atom_site_occupancy
Mg1 Mg 0.250 0.250 0.250 1
Co1 Co 0.000 0.000 0.000 1
Tc1 Tc 0.000 0.000 0.500 1
```

As for the density of states at the Fermi level: 15.393 states/eV per cell. The calculated density is 5.52 g cm⁻³. The energy of formation from the pure elements is 40 kJ per mole of atoms. The value obtained for the total energy is -75.936 eV per cell.



# 6
Computed, not measured: a geometry-optimized Mg2CoTc structure at the PBE level of DFT.

Structure (CIF):
```
data_Mg2CoTc
_cell_length_a 2.844
_cell_length_b 2.844
_cell_length_c 7.912
_cell_angle_alpha 90.00
_cell_angle_beta 90.00
_cell_angle_gamma 90.00
_symmetry_space_group_name_H-M 'P 4 m m'
_symmetry_Int_Tables_number 99
loop_
_symmetry_equiv_pos_as_xyz
'x,y,z'
'-y,x,z'
'-x,-y,z'
'y,-x,z'
'-x,y,z'
'y,x,z'
'x,-y,z'
'-y,-x,z'
loop_
_atom_site_label
_atom_site_type_symbol
_atom_site_fract_x
_atom_site_fract_y
_atom_site_fract_z
_atom_site_occupancy
Mg1 Mg 0.000 0.000 0.000 1
Mg2 Mg 0.500 0.500 0.331 1
Co1 Co 0.500 0.500 0.773 1
Tc1 Tc 0.000 0.000 0.590 1
```

As for the density of states at the Fermi level: 2.861 states/eV per cell. The calculated density is 5.33 g cm⁻³. The energy of formation from the pure elements is 7 kJ per mole of atoms. The value obtained for the total energy is -20.367 eV per cell.



# 7
Computed, not measured: a geometry-optimized MgCoTc structure at the PBE level of DFT.

Structure (CIF):
```
data_MgCoTc
_cell_length_a 6.643
_cell_length_b 3.805
_cell_length_c 7.090
_cell_angle_alpha 90.00
_cell_angle_beta 90.00
_cell_angle_gamma 90.00
_symmetry_space_group_name_H-M 'P n m a'
_symmetry_Int_Tables_number 62
loop_
_symmetry_equiv_pos_as_xyz
'x,y,z'
'-x,-y,-z'
'-x+1/2,-y,z+1/2'
'x+1/2,y,-z+1/2'
'x+1/2,-y+1/2,-z+1/2'
'-x+1/2,y+1/2,z+1/2'
'-x,y+1/2,-z'
'x,-y+1/2,z'
loop_
_atom_site_label
_atom_site_type_symbol
_atom_site_fract_x
_atom_site_fract_y
_atom_site_fract_z
_atom_site_occupancy
Mg1 Mg 0.027 0.250 0.161 1
Co1 Co 0.233 0.750 0.354 1
Tc1 Tc 0.130 0.250 0.550 1
```

As for the density of states at the Fermi level: 9.224 states/eV per cell. The calculated density is 6.72 g cm⁻³. The energy of formation from the pure elements is 12 kJ per mole of atoms. The value obtained for the total energy is -74.744 eV per cell.



# 8
Computed, not measured: a geometry-optimized Mg2CoTc structure at the PBE level of DFT.

Structure (CIF):
```
data_Mg2CoTc
_cell_length_a 10.147
_cell_length_b 2.827
_cell_length_c 4.654
_cell_angle_alpha 90.00
_cell_angle_beta 111.83
_cell_angle_gamma 90.00
_symmetry_space_group_name_H-M 'C 1 m 1'
_symmetry_Int_Tables_number 8
loop_
_symmetry_equiv_pos_as_xyz
'x,y,z'
'x,-y,z'
'x+1/2,y+1/2,z'
'x+1/2,-y+1/2,z'
loop_
_atom_site_label
_atom_site_type_symbol
_atom_site_fract_x
_atom_site_fract_y
_atom_site_fract_z
_atom_site_occupancy
Mg1 Mg 0.000 0.000 0.000 1
Mg2 Mg 0.214 0.000 0.689 1
Co1 Co 0.240 0.500 0.210 1
Tc1 Tc 0.446 0.000 0.453 1
```

As for the density of states at the Fermi level: 7.319 states/eV per cell. The calculated density is 5.51 g cm⁻³. The energy of formation from the pure elements is 21 kJ per mole of atoms. The value obtained for the total energy is -39.598 eV per cell.



# 9
Computed, not measured: a geometry-optimized MgCoTc structure at the PBE level of DFT.

Structure (CIF):
```
data_MgCoTc
_cell_length_a 4.3782
_cell_length_b 4.3782
_cell_length_c 5.0162
_cell_angle_alpha 90.00
_cell_angle_beta 90.00
_cell_angle_gamma 120.00
_symmetry_space_group_name_H-M 'P 63/m m c'
_symmetry_Int_Tables_number 194
_symmetry_space_group_name_Hall '-P 6c 2c'
loop_
_atom_site_label
_atom_site_type_symbol
_atom_site_fract_x
_atom_site_fract_y
_atom_site_fract_z
_atom_site_occupancy
Mg1 Mg 0.3333 0.6667 0.2500 1
Co1 Co 0.3333 0.6667 0.7500 1
Tc1 Tc 0.0000 0.0000 0.0000 1
```

As for the density of states at the Fermi level: 6.547 states/eV per cell. The calculated density is 7.23 g cm⁻³. The energy of formation from the pure elements is 32 kJ per mole of atoms. The value obtained for the total energy is -36.157 eV per cell.



# 10
Computed, not measured: a geometry-optimized MgCoTc2 structure at the PBE level of DFT.

Structure (CIF):
```
data_MgCoTc2
_cell_length_a 2.665
_cell_length_b 4.331
_cell_length_c 5.086
_cell_angle_alpha 90.00
_cell_angle_beta 104.76
_cell_angle_gamma 90.00
_symmetry_space_group_name_H-M 'P 1 2/m 1'
_symmetry_Int_Tables_number 10
loop_
_symmetry_equiv_pos_as_xyz
'x,y,z'
'-x,-y,-z'
'-x,y,-z'
'x,-y,z'
loop_
_atom_site_label
_atom_site_type_symbol
_atom_site_fract_x
_atom_site_fract_y
_atom_site_fract_z
_atom_site_occupancy
Mg1 Mg 0.000 0.000 0.000 1
Co1 Co 0.500 0.000 0.500 1
Tc1 Tc 0.295 0.500 0.748 1
```

As for the density of states at the Fermi level: 4.059 states/eV per cell. The calculated density is 8.17 g cm⁻³. The energy of formation from the pure elements is 24 kJ per mole of atoms. The value obtained for the total energy is -28.455 eV per cell.



Please write out number 7 again, unchanged.
Computed, not measured: a geometry-optimized MgCoTc structure at the PBE level of DFT.

Structure (CIF):
```
data_MgCoTc
_cell_length_a 6.643
_cell_length_b 3.805
_cell_length_c 7.090
_cell_angle_alpha 90.00
_cell_angle_beta 90.00
_cell_angle_gamma 90.00
_symmetry_space_group_name_H-M 'P n m a'
_symmetry_Int_Tables_number 62
loop_
_symmetry_equiv_pos_as_xyz
'x,y,z'
'-x,-y,-z'
'-x+1/2,-y,z+1/2'
'x+1/2,y,-z+1/2'
'x+1/2,-y+1/2,-z+1/2'
'-x+1/2,y+1/2,z+1/2'
'-x,y+1/2,-z'
'x,-y+1/2,z'
loop_
_atom_site_label
_atom_site_type_symbol
_atom_site_fract_x
_atom_site_fract_y
_atom_site_fract_z
_atom_site_occupancy
Mg1 Mg 0.027 0.250 0.161 1
Co1 Co 0.233 0.750 0.354 1
Tc1 Tc 0.130 0.250 0.550 1
```

As for the density of states at the Fermi level: 9.224 states/eV per cell. The calculated density is 6.72 g cm⁻³. The energy of formation from the pure elements is 12 kJ per mole of atoms. The value obtained for the total energy is -74.744 eV per cell.